Here is a relaxed LiLuBiPb crystal from the Alexandria database. Energies are from PBE-GGA.

Output
Size of the total moment, μB/atom: 0.000
Energy, eV per atom: -3.811
Space-group type: F-43m, No. 216
Density, g/cm3: 9.35
E_form, eV per atom: -0.31

a b c (Å): 5.3161 5.3161 5.3161
angles (deg): 60.00 60.00 60.00
Closest atoms and distances in Å follow each position.
Fractional positions:
Pb 0.7500 0.7500 0.7500  4 Li 3.26, 4 Lu 3.26
Li 0.0000 0.0000 0.0000  4 Bi 3.26, 4 Pb 3.26
Lu 0.5000 0.5000 0.5000  4 Pb 3.26, 4 Bi 3.26
Bi 0.2500 0.2500 0.2500  4 Li 3.26, 4 Lu 3.26